--- P ---
Below is YTmTe2 after structural relaxation, with properties calculated at the GGA-PBE level.

total magnetization = 0.000 μB/atom

Cell lengths 4.189, 4.189, 7.983 Å; angles 74.79, 74.79, 60.00 degrees
Element x y z (fractional)
Y 0.497 0.497 0.510
Tm 0.670 0.670 0.990
Te 0.081 0.081 0.758
Te 0.253 0.253 0.242

---

--- Q ---
Below is YTmTe2 after structural relaxation, with properties calculated at the GGA-PBE level.

total magnetization = 0.000 μB/atom

Cell lengths 4.327, 4.327, 7.527 Å; angles 73.29, 73.29, 60.00 degrees
Element x y z (fractional)
Y 0.500 0.500 0.500
Tm 0.000 0.000 0.000
Te 0.252 0.252 0.244
Te 0.748 0.748 0.756

---

The structure with the least stability is Q.

---

--- P ---
Below is YTmTe2 after structural relaxation, with properties calculated at the GGA-PBE level.

total magnetization = 0.000 μB/atom

Cell lengths 4.444, 6.821, 9.661 Å; angles 90.00, 89.99, 90.06 degrees
Element x y z (fractional)
Y 0.201 0.945 0.194
Y 0.701 0.445 0.022
Tm 0.201 0.786 0.786
Tm 0.701 0.286 0.430
Te 0.701 0.667 0.286
Te 0.701 0.535 0.695
Te 0.201 0.035 0.521
Te 0.200 0.167 0.930

---

--- Q ---
Below is YTmTe2 after structural relaxation, with properties calculated at the GGA-PBE level.

total magnetization = 0.000 μB/atom

Cell lengths 4.337, 4.337, 6.117 Å; angles 90.00, 90.00, 90.00 degrees
Element x y z (fractional)
Y 0.500 0.500 0.000
Tm 0.000 0.000 0.500
Te 0.000 0.000 0.000
Te 0.500 0.500 0.500

---

The structure with the least stability is P.

---

--- P ---
Below is Y3TmTe6 after structural relaxation, with properties calculated at the GGA-PBE level.

total magnetization = 0.000 μB/atom

Cell lengths 7.322, 8.047, 11.154 Å; angles 90.00, 90.28, 90.00 degrees
Element x y z (fractional)
Y 0.552 0.880 0.749
Y 0.500 0.500 0.000
Y 0.448 0.120 0.251
Y 0.052 0.620 0.249
Y 0.000 0.000 0.500
Y 0.948 0.380 0.751
Tm 0.500 0.500 0.500
Tm 0.000 0.000 0.000
Te 0.664 0.174 0.919
Te 0.661 0.176 0.581
Te 0.665 0.448 0.252
Te 0.335 0.552 0.748
Te 0.339 0.824 0.419
Te 0.336 0.826 0.081
Te 0.164 0.326 0.419
Te 0.161 0.324 0.081
Te 0.165 0.052 0.752
Te 0.835 0.948 0.248
Te 0.839 0.676 0.919
Te 0.836 0.674 0.581

---

--- Q ---
Below is Y3TmTe6 after structural relaxation, with properties calculated at the GGA-PBE level.

total magnetization = 0.000 μB/atom

Cell lengths 8.998, 8.998, 8.998 Å; angles 90.44, 90.44, 90.44 degrees
Element x y z (fractional)
Y 0.425 0.918 0.757
Y 0.918 0.757 0.425
Y 0.243 0.575 0.082
Y 0.757 0.425 0.918
Y 0.082 0.243 0.575
Y 0.575 0.082 0.243
Tm 0.000 0.000 0.000
Tm 0.500 0.500 0.500
Te 0.313 0.914 0.091
Te 0.086 0.909 0.687
Te 0.589 0.819 0.460
Te 0.909 0.687 0.086
Te 0.460 0.589 0.819
Te 0.181 0.540 0.411
Te 0.819 0.460 0.589
Te 0.540 0.411 0.181
Te 0.091 0.313 0.914
Te 0.411 0.181 0.540
Te 0.914 0.091 0.313
Te 0.687 0.086 0.909

---

The structure with the least stability is Q.

---

--- P ---
Below is Y4TmTe5 after structural relaxation, with properties calculated at the GGA-PBE level.

total magnetization = 0.000 μB/atom

Cell lengths 4.281, 4.281, 16.298 Å; angles 97.55, 97.55, 90.00 degrees
Element x y z (fractional)
Y 0.390 0.390 0.780
Y 0.812 0.812 0.625
Y 0.188 0.188 0.375
Y 0.610 0.610 0.220
Tm 0.000 0.000 0.000
Te 0.093 0.093 0.186
Te 0.500 0.500 0.000
Te 0.907 0.907 0.814
Te 0.292 0.292 0.585
Te 0.708 0.708 0.415

---

--- Q ---
Below is Y4TmTe5 after structural relaxation, with properties calculated at the GGA-PBE level.

total magnetization = 0.000 μB/atom

Cell lengths 6.133, 7.553, 7.553 Å; angles 80.51, 66.05, 66.05 degrees
Element x y z (fractional)
Y 0.410 0.409 0.774
Y 0.819 0.774 0.591
Y 0.183 0.226 0.409
Y 0.592 0.591 0.226
Tm 0.001 0.000 0.000
Te 0.892 0.398 0.820
Te 0.290 0.820 0.602
Te 0.712 0.180 0.398
Te 0.110 0.602 0.180
Te 0.501 0.000 0.000

---

The structure with the least stability is Q.

---

--- P ---
Below is Tm4ZnTe after structural relaxation, with properties calculated at the GGA-PBE level.

total magnetization = 0.000 μB/atom

Cell lengths 5.815, 7.629, 8.301 Å; angles 90.00, 90.00, 105.84 degrees
Element x y z (fractional)
Tm 0.590 0.493 0.750
Tm 0.410 0.507 0.250
Tm 0.430 0.006 0.750
Tm 0.570 0.994 0.250
Tm 0.020 0.734 0.053
Tm 0.980 0.266 0.553
Tm 0.020 0.734 0.447
Tm 0.980 0.266 0.947
Zn 0.153 0.589 0.750
Zn 0.847 0.411 0.250
Te 0.892 0.913 0.750
Te 0.108 0.087 0.250

---

--- Q ---
Below is Tm4ZnTe after structural relaxation, with properties calculated at the GGA-PBE level.

total magnetization = 0.000 μB/atom

Cell lengths 6.132, 6.405, 8.624 Å; angles 90.00, 110.16, 90.00 degrees
Element x y z (fractional)
Tm 0.572 0.250 0.369
Tm 0.428 0.750 0.631
Tm 0.617 0.250 0.928
Tm 0.383 0.750 0.072
Tm 0.017 0.002 0.303
Tm 0.983 0.502 0.697
Tm 0.017 0.498 0.303
Tm 0.983 0.998 0.697
Zn 0.310 0.250 0.590
Zn 0.690 0.750 0.410
Te 0.178 0.250 0.036
Te 0.822 0.750 0.964

---

The structure with the least stability is P.